! NaIr3Au PBE optimized geometry; values from VASP
&SYSTEM
  ibrav = 0, nat = 5, ntyp = 3
/
ATOMIC_SPECIES
Na 22.99 Na.upf
Ir 192.22 Ir.upf
Au 196.97 Au.upf
CELL_PARAMETERS angstrom
4.4895 0.0000 0.0000
0.0000 4.4895 0.0000
0.0000 0.0000 4.4895
ATOMIC_POSITIONS angstrom
Na 0.0000 0.0000 0.0000
Ir 0.0000 0.0000 2.2447
Ir 0.0000 2.2447 0.0000
Ir 2.2447 0.0000 0.0000
Au 2.2447 2.2447 2.2447
! * distance to the lowest polymorph of the same formula: 0.375 eV per atom
! * SG: Pm-3m
! * M_tot: 0.2453 μB per atom
! * formation energy from the elements: 2341 meV/atom